A relaxed structure of RbScGeS4. Source: the Alexandria database, functional GGA-PBE.

a = 6.312 Å, b = 6.745 Å, c = 9.078 Å
α = 90.00°, β = 108.81°, γ = 90.00°
Space group P2_1/m (No. 11)
One atom of each set of equivalent atoms:
1 Rb 0.243 0.250 0.445 (multiplicity 2)
2 Sc 0.287 0.250 0.954 (multiplicity 2)
3 Ge 0.263 0.750 0.154 (multiplicity 2)
4 S 0.020 0.750 0.919 (multiplicity 2)
5 S 0.058 0.750 0.310 (multiplicity 2)
6 S 0.491 0.501 0.812 (multiplicity 4)

***

A relaxed structure of Rb3Sc3GeS8. Source: the Alexandria database, functional GGA-PBE.

a = 7.5451 Å, b = 7.5451 Å, c = 23.4078 Å
α = 90.00°, β = 90.00°, γ = 120.00°
Space group R-3m (No. 166, hexagonal axes)
One atom of each set of equivalent atoms:
1 Rb 0.0000 0.5000 0.0000 (multiplicity 9)
2 Sc 0.0000 0.5000 0.5000 (multiplicity 9)
3 Ge 0.0000 0.0000 0.5000 (multiplicity 3)
4 S 0.0000 0.0000 0.2271 (multiplicity 6)
5 S 0.0154 0.5077 0.2253 (multiplicity 18)

***

A relaxed structure of Rb2ScGeS4. Source: the Alexandria database, functional GGA-PBE.

a = 6.343 Å, b = 14.079 Å, c = 24.108 Å
α = 90.00°, β = 90.00°, γ = 90.00°
Space group Fddd (No. 70, origin choice 2)
One atom of each set of equivalent atoms:
1 Rb 0.125 0.125 0.305 (multiplicity 16)
2 Sc 0.125 0.125 0.125 (multiplicity 8)
3 Ge 0.125 0.125 0.625 (multiplicity 8)
4 S 0.118 0.280 0.824 (multiplicity 32)

***

A relaxed structure of Rb2GeSeS. Source: the Alexandria database, functional GGA-PBE.

a = 8.919 Å, b = 4.239 Å, c = 9.743 Å
α = 90.00°, β = 101.06°, γ = 90.00°
Space group P2_1/m (No. 11)
One atom of each set of equivalent atoms:
1 Rb 0.148 0.250 0.389 (multiplicity 2)
2 Rb 0.294 0.250 0.917 (multiplicity 2)
3 Ge 0.481 0.750 0.631 (multiplicity 2)
4 Se 0.381 0.750 0.212 (multiplicity 2)
5 S 0.233 0.750 0.658 (multiplicity 2)

***

A relaxed structure of RbSi2GeS8. Source: the Alexandria database, functional GGA-PBE.

a = 5.9829 Å, b = 5.9829 Å, c = 9.3148 Å
α = 90.00°, β = 90.00°, γ = 120.00°
Space group P-3 (No. 147)
One atom of each set of equivalent atoms:
1 Rb 0.0000 0.0000 0.0000 (multiplicity 1)
2 Si 0.3333 0.6667 0.7151 (multiplicity 2)
3 Ge 0.0000 0.0000 0.5000 (multiplicity 1)
4 S 0.0144 0.6800 0.3432 (multiplicity 6)
5 S 0.3333 0.6667 0.9421 (multiplicity 2)

***

A relaxed structure of RbSmGeS4. Source: the Alexandria database, functional GGA-PBE.

a = 6.600 Å, b = 6.757 Å, c = 9.158 Å
α = 90.00°, β = 107.56°, γ = 90.00°
Space group P2_1/m (No. 11)
One atom of each set of equivalent atoms:
1 Rb 0.233 0.250 0.436 (multiplicity 2)
2 Sm 0.273 0.250 0.950 (multiplicity 2)
3 Ge 0.276 0.750 0.170 (multiplicity 2)
4 S 0.073 0.750 0.928 (multiplicity 2)
5 S 0.077 0.750 0.324 (multiplicity 2)
6 S 0.497 0.504 0.795 (multiplicity 4)

***

A relaxed structure of Rb3Sm3GeS8. Source: the Alexandria database, functional GGA-PBE.

a = 8.0801 Å, b = 8.0801 Å, c = 23.5992 Å
α = 90.00°, β = 90.00°, γ = 120.00°
Space group R-3m (No. 166, hexagonal axes)
One atom of each set of equivalent atoms:
1 Rb 0.0000 0.5000 0.0000 (multiplicity 9)
2 Sm 0.0000 0.5000 0.5000 (multiplicity 9)
3 Ge 0.0000 0.0000 0.5000 (multiplicity 3)
4 S 0.0000 0.0000 0.2316 (multiplicity 6)
5 S 0.0351 0.5176 0.2266 (multiplicity 18)

***

A relaxed structure of RbSn2GeS6. Source: the Alexandria database, functional GGA-PBE.

a = 14.156 Å, b = 12.189 Å, c = 9.092 Å
α = 90.00°, β = 127.40°, γ = 90.00°
Space group C2/c (No. 15)
One atom of each set of equivalent atoms:
1 Rb 0.000 0.206 0.250 (multiplicity 4)
2 Sn 0.168 0.434 0.026 (multiplicity 8)
3 Ge 0.000 0.152 0.750 (multiplicity 4)
4 S 0.097 0.498 0.712 (multiplicity 8)
5 S 0.112 0.047 0.708 (multiplicity 8)
6 S 0.124 0.234 0.027 (multiplicity 8)

***

Going through the records in order, we get ΔE_f (raw) values of -1.137, -1.401, -1.085, -0.825, -0.271, -1.259, -1.444, -0.452 eV per atom.
Going through the records in order, we get volume values of 365.8, 1154.0, 2152.9, 361.5, 288.7, 389.4, 1334.4, 1246.4 Å³ per cell.